1.
Density functional theory data (PBE-GGA) for crystalline BaPaCdAs3 at its relaxed geometry.

Results
For the formation energy, the calculation gives -829 meV/atom.

Geometry as CIF:
```
data_BaPaCdAs3
_chemical_formula_sum 'Ba2 Pa2 Cd2 As6'
_cell_length_a 8.7369
_cell_length_b 4.3302
_cell_length_c 9.7373
_cell_angle_alpha 90.00
_cell_angle_beta 106.11
_cell_angle_gamma 90.00
_space_group_name_H-M_alt 'P 1 21/m 1'
_space_group_IT_number 11
loop_
_space_group_symop_operation_xyz
'x,y,z'
'-x,-y,-z'
'-x,y+1/2,-z'
'x,-y+1/2,z'
loop_
_atom_site_label
_atom_site_fract_x
_atom_site_fract_y
_atom_site_fract_z
Ba1 0.2090 0.2500 0.2422
Pa1 0.3202 0.7500 0.8478
Cd1 0.0915 0.2500 0.5941
As1 0.1121 0.2500 0.8732
As2 0.2527 0.7500 0.5367
As3 0.4636 0.7500 0.1501
```

2.
Density functional theory data (PBE-GGA) for crystalline ZnCo2Ir at its relaxed geometry.

Results
The value obtained for the density of states at the Fermi level is 1.336 states/eV per atom. For the formation energy, the calculation gives 57 meV/atom.

Geometry as CIF:
```
data_ZnCo2Ir
_chemical_formula_sum 'Zn3 Co6 Ir3'
_cell_length_a 2.6565
_cell_length_b 2.6565
_cell_length_c 25.1281
_cell_angle_alpha 90.00
_cell_angle_beta 90.00
_cell_angle_gamma 120.00
_space_group_name_H-M_alt 'R -3 m'
_space_group_IT_number 166
_space_group_name_Hall '-R 3 2"'
loop_
_atom_site_label
_atom_site_fract_x
_atom_site_fract_y
_atom_site_fract_z
Zn1 0.0000 0.0000 0.0000
Co1 0.0000 0.0000 0.2501
Ir1 0.0000 0.0000 0.5000
```

3.
Density functional theory data (PBE-GGA) for crystalline Nd4As2PSe at its relaxed geometry.

Results
The value obtained for the density of states at the Fermi level is 0.178 states/eV per atom. The value obtained for the formation energy (no corrections) is -1.65 eV/atom.

Geometry as CIF:
```
data_Nd4As2PSe
_chemical_formula_sum 'Nd4 As2 P1 Se1'
_cell_length_a 7.3266
_cell_length_b 4.2374
_cell_length_c 7.3472
_cell_angle_alpha 90.00
_cell_angle_beta 109.38
_cell_angle_gamma 90.00
_space_group_name_H-M_alt 'P 1 2/m 1'
_space_group_IT_number 10
loop_
_space_group_symop_operation_xyz
'x,y,z'
'-x,-y,-z'
'-x,y,-z'
'x,-y,z'
loop_
_atom_site_label
_atom_site_fract_x
_atom_site_fract_y
_atom_site_fract_z
Nd1 0.2469 0.0000 0.2417
Nd2 0.2523 0.5000 0.7570
As1 0.0000 0.0000 0.5000
As2 0.0000 0.5000 0.0000
P1 0.5000 0.0000 0.0000
Se1 0.5000 0.5000 0.5000
```

4.
Density functional theory data (PBE-GGA) for crystalline Y2HfNi at its relaxed geometry.

Results
The value obtained for the density of states at the Fermi level is 1.926 states/eV per atom. Its energy above the most stable polymorph in this dataset is 355 meV per atom. For the formation energy, the calculation gives 289 meV/atom.

Geometry as CIF:
```
data_Y2HfNi
_chemical_formula_sum 'Y8 Hf4 Ni4'
_cell_length_a 7.1903
_cell_length_b 7.1903
_cell_length_c 7.1903
_cell_angle_alpha 90.00
_cell_angle_beta 90.00
_cell_angle_gamma 90.00
_space_group_name_H-M_alt 'F m -3 m'
_space_group_IT_number 225
_space_group_name_Hall '-F 4 2 3'
loop_
_atom_site_label
_atom_site_fract_x
_atom_site_fract_y
_atom_site_fract_z
Y1 0.2500 0.2500 0.2500
Hf1 0.0000 0.0000 0.0000
Ni1 0.0000 0.0000 0.5000
```

5.
Density functional theory data (PBE-GGA) for crystalline Ba4GaI2Cl at its relaxed geometry.

Results
The value obtained for the density of states at the Fermi level is 0.513 states/eV per atom. The value obtained for the formation energy (no corrections) is -1.24 eV/atom.

Geometry as CIF:
```
data_Ba4GaI2Cl
_chemical_formula_sum 'Ba4 Ga1 I2 Cl1'
_cell_length_a 8.3594
_cell_length_b 4.7464
_cell_length_c 8.9630
_cell_angle_alpha 90.00
_cell_angle_beta 108.00
_cell_angle_gamma 90.00
_space_group_name_H-M_alt 'P 1 2/m 1'
_space_group_IT_number 10
loop_
_space_group_symop_operation_xyz
'x,y,z'
'-x,-y,-z'
'-x,y,-z'
'x,-y,z'
loop_
_atom_site_label
_atom_site_fract_x
_atom_site_fract_y
_atom_site_fract_z
Ba1 0.2347 0.0000 0.2203
Ba2 0.2525 0.5000 0.7857
Ga1 0.0000 0.5000 0.0000
I1 0.0000 0.0000 0.5000
I2 0.5000 0.5000 0.5000
Cl1 0.5000 0.0000 0.0000
```

6.
Density functional theory data (PBE-GGA) for crystalline Cs2TeF at its relaxed geometry.

Results
The value obtained for the density of states at the Fermi level is 0.543 states/eV per atom. Its energy above the most stable polymorph in this dataset is 63 meV per atom. The value obtained for the formation energy (no corrections) is -1.53 eV/atom.

Geometry as CIF:
```
data_Cs2TeF
_chemical_formula_sum 'Cs8 Te4 F4'
_cell_length_a 8.7143
_cell_length_b 8.7143
_cell_length_c 9.6888
_cell_angle_alpha 90.00
_cell_angle_beta 90.00
_cell_angle_gamma 90.00
_space_group_name_H-M_alt 'I -4 2 d'
_space_group_IT_number 122
_space_group_name_Hall 'I -4 2bw'
loop_
_atom_site_label
_atom_site_fract_x
_atom_site_fract_y
_atom_site_fract_z
Cs1 0.1529 0.2500 0.1250
Te1 0.0000 0.0000 0.5000
F1 0.0000 0.0000 0.0000
```

7.
Density functional theory data (PBE-GGA) for crystalline NaGeN2 at its relaxed geometry.

Results
The value obtained for the density of states at the Fermi level is 0.411 states/eV per atom. The value obtained for the formation energy (no corrections) is 0.57 eV/atom.

Geometry as CIF:
```
data_NaGeN2
_chemical_formula_sum 'Na3 Ge3 N6'
_cell_length_a 3.0735
_cell_length_b 3.0735
_cell_length_c 19.4139
_cell_angle_alpha 90.00
_cell_angle_beta 90.00
_cell_angle_gamma 120.00
_space_group_name_H-M_alt 'R -3 m'
_space_group_IT_number 166
_space_group_name_Hall '-R 3 2"'
loop_
_atom_site_label
_atom_site_fract_x
_atom_site_fract_y
_atom_site_fract_z
Na1 0.0000 0.0000 0.0000
Ge1 0.0000 0.0000 0.5000
N1 0.0000 0.0000 0.1148
```

8.
Density functional theory data (PBE-GGA) for crystalline Er3Co7Cu2 at its relaxed geometry.

Results
The value obtained for the density of states at the Fermi level is 1.194 states/eV per atom. For the formation energy, the calculation gives -204 meV/atom.

Geometry as CIF:
```
data_Er3Co7Cu2
_chemical_formula_sum 'Er9 Co21 Cu6'
_cell_length_a 4.9393
_cell_length_b 4.9393
_cell_length_c 24.7088
_cell_angle_alpha 90.00
_cell_angle_beta 90.00
_cell_angle_gamma 120.00
_space_group_name_H-M_alt 'R -3 m'
_space_group_IT_number 166
_space_group_name_Hall '-R 3 2"'
loop_
_atom_site_label
_atom_site_fract_x
_atom_site_fract_y
_atom_site_fract_z
Er1 0.0000 0.0000 0.0000
Er2 0.0000 0.0000 0.1394
Co1 0.0000 0.0000 0.5000
Co2 0.0016 0.5008 0.9168
Cu1 0.0000 0.0000 0.3337
```